[1]
Material: NiHgNF2
Method: DFT, GGA+U
State: optimized geometry

Values from the calculation:
Space group: No. 123
Total DFT energy (no corrections) in eV/atom: -2.395
DOS(E_F) in states/eV/atom: 0.328

Unit cell a=4.1468 b=4.2392 c=4.1468 alpha=90.00 beta=90.00 gamma=90.00
Site moments in Bohr magnetons follow the coordinates.
Fractional positions:
Ni1 0.5000 0.5000 0.5000  0.98
N1 0.0000 0.0000 0.0000  0.38
Hg1 0.0000 0.5000 0.0000  0.00
F1 0.0000 0.0000 0.5000  0.00
F2 0.5000 0.0000 0.0000  0.04

---

[2]
Material: NiHgNF2
Method: DFT, GGA+U
State: optimized geometry

Values from the calculation:
Space group: No. 123
Total DFT energy (no corrections) in eV/atom: -2.543
DOS(E_F) in states/eV/atom: 0.328

Unit cell a=4.6592 b=4.6592 c=4.1004 alpha=90.00 beta=90.00 gamma=90.00
Site moments in Bohr magnetons follow the coordinates.
Fractional positions:
Ni1 0.5000 0.5000 0.5000  0.99
N1 0.0000 0.0000 0.5000  0.97
Hg1 0.0000 0.0000 0.0000  0.10
F1 0.0000 0.5000 0.0000  0.04
F2 0.5000 0.0000 0.0000  0.04

---

[3]
Material: NiHgNF2
Method: DFT, GGA+U
State: optimized geometry

Values from the calculation:
Space group: No. 123
Total DFT energy (no corrections) in eV/atom: -3.354
DOS(E_F) in states/eV/atom: 0.145

Unit cell a=3.9012 b=3.9012 c=4.1789 alpha=90.00 beta=90.00 gamma=90.00
Site moments in Bohr magnetons follow the coordinates.
Fractional positions:
Ni1 0.0000 0.0000 0.0000  1.73
N1 0.0000 0.0000 0.5000  0.56
Hg1 0.5000 0.5000 0.5000  -0.07
F1 0.0000 0.5000 0.0000  0.03
F2 0.5000 0.0000 0.0000  0.03